SiHg3Bi: relaxed, PBE.

```
SiHg3Bi
1.0
-0.761 0.282 -5.115
4.234 -2.877 -0.789
-2.884 -4.298 0.192
Hg Bi Si
3 1 1
Cartesian
-1.442 -2.149 0.096
-0.380 0.141 -2.558
2.117 -1.438 -0.394
0.295 -3.446 -2.856
0.000 0.000 0.000
```

- Volume: 27.789 A^3/atom
- ΔE_f (raw): 9.2 kcal/mol of atoms
- E above lowest polymorph: 0 meV/atom